A relaxed structure of Te2AsCI, computed with GGA-PBE.

Properties
E_tot: -3.130 eV per atom
formation energy from raw total energies: 1212 meV/atom
magnetic moment: 0.000 μB/atom

```
data_Te2AsCI
_chemical_formula_sum 'Te2 As1 C1 I1'
_space_group_name_H-M_alt 'P 4/m m m'
_space_group_IT_number 123
_space_group_name_Hall '-P 4 2'
_cell_length_a 4.823
_cell_length_b 4.823
_cell_length_c 4.947
_cell_angle_alpha 90.00
_cell_angle_beta 90.00
_cell_angle_gamma 90.00
loop_
_atom_site_label
_atom_site_fract_x
_atom_site_fract_y
_atom_site_fract_z
Te1 0.000 0.500 0.000
As1 0.000 0.000 0.500
C1 0.500 0.500 0.000
I1 0.500 0.500 0.500
```